Compound: Er2Ag3BiS6
Source: Alexandria via LeMat-Bulk
Functional: GGA-PBE
Structure: relaxed

a b c (Å): 3.9970 7.7302 8.8268
angles (deg): 100.17 103.09 90.00
With the nearest neighbours (Å) after each atom.
Fractional positions:
Er 0.8324 0.6704 0.6648  6 S 2.74-2.76
Er 0.1676 0.3296 0.3352  6 S 2.74-2.76
Ag 0.5000 0.5000 0.0000  6 S 2.73-2.89
Ag 0.8278 0.1830 0.6556  6 S 2.74-2.99
Ag 0.1722 0.8170 0.3444  6 S 2.74-2.99
Bi 0.5000 0.0000 0.0000  6 S 2.82-2.83
S 0.3337 0.9142 0.6674  3 Ag 2.74-2.90, 2 Er 2.74, 1 Bi 2.82
S 0.6711 0.5731 0.3422  3 Er 2.74, 3 Ag 2.75-2.89
S 0.6663 0.0858 0.3326  3 Ag 2.74-2.90, 2 Er 2.74, 1 Bi 2.82
S 0.0045 0.2605 0.0091  3 Ag 2.73-2.99, 1 Er 2.76, 2 Bi 2.83
S 0.9955 0.7395 0.9909  3 Ag 2.73-2.99, 1 Er 2.76, 2 Bi 2.83
S 0.3289 0.4269 0.6578  3 Er 2.74, 3 Ag 2.75-2.89

Crystal system: monoclinic
Formation energy without anion corrections, meV per atom: -927.6
Space-group type: No. 12

=====

Compound: Er4AgBiS8
Source: Alexandria via LeMat-Bulk
Functional: GGA-PBE
Structure: relaxed

a b c (Å): 7.9757 7.9757 8.0615
angles (deg): 60.35 60.35 60.00
With the nearest neighbours (Å) after each atom.
Fractional positions:
Er 0.6259 0.6259 0.1223  4 S 2.59-2.63
Er 0.0038 0.4908 0.5015  6 S 2.68-2.79
Er 0.4908 0.0038 0.5015  6 S 2.68-2.79
Er 0.0038 0.0038 0.5015  6 S 2.68-2.79
Ag 0.3694 0.3694 0.8919  4 S 2.57-2.62
Bi 0.0090 0.0090 0.9731  6 S 2.72-2.94
S 0.2487 0.7698 0.7327  1 Ag 2.62, 2 Er 2.70, 1 Bi 2.72
S 0.7698 0.2487 0.7327  1 Ag 2.62, 2 Er 2.70, 1 Bi 2.72
S 0.2487 0.2487 0.7327  1 Ag 2.62, 2 Er 2.70, 1 Bi 2.72
S 0.2399 0.2399 0.2802  1 Ag 2.57, 3 Er 2.68
S 0.7513 0.2291 0.2683  3 Er 2.59-2.76
S 0.2291 0.7513 0.2683  3 Er 2.59-2.76
S 0.7513 0.7513 0.2683  3 Er 2.59-2.76
S 0.7584 0.7584 0.7247  4 Er 2.63-2.79

Crystal system: trigonal
Formation energy without anion corrections, meV per atom: -1528.9
Space-group type: No. 160

=====

Compound: ErAg2BiS4
Source: Alexandria via LeMat-Bulk
Functional: GGA-PBE
Structure: relaxed

a b c (Å): 4.0072 6.7079 7.0049
angles (deg): 69.00 90.00 90.00
With the nearest neighbours (Å) after each atom.
Fractional positions:
Er 0.0000 0.5000 0.5000  6 S 2.75-2.76
Ag 0.0000 0.0000 0.0000  6 S 2.83-2.90
Ag 0.5000 0.0000 0.5000  6 S 2.75-2.83
Bi 0.5000 0.5000 0.0000  6 S 2.82-2.83
S 0.0000 0.7507 0.7374  3 Ag 2.75-2.90, 1 Er 2.76, 2 Bi 2.83
S 0.0000 0.2493 0.2626  3 Ag 2.75-2.90, 1 Er 2.76, 2 Bi 2.83
S 0.5000 0.7416 0.2574  2 Er 2.75, 1 Bi 2.82, 3 Ag 2.83
S 0.5000 0.2584 0.7426  2 Er 2.75, 1 Bi 2.82, 3 Ag 2.83

Crystal system: monoclinic
Formation energy without anion corrections, meV per atom: -748.5
Space-group type: No. 10

=====

Compound: ErScAgBi
Source: Alexandria via LeMat-Bulk
Functional: GGA-PBE
Structure: relaxed

a b c (Å): 5.1634 5.1634 5.1634
angles (deg): 60.00 60.00 60.00
With the nearest neighbours (Å) after each atom.
Fractional positions:
Sc 0.5000 0.5000 0.5000  4 Bi 3.16, 4 Ag 3.16
Bi 0.7500 0.7500 0.7500  4 Er 3.16, 4 Sc 3.16
Ag 0.2500 0.2500 0.2500  4 Er 3.16, 4 Sc 3.16
Er 0.0000 0.0000 0.0000  4 Bi 3.16, 4 Ag 3.16

Crystal system: cubic
Space-group type: No. 216

=====

Compound: SmErAgBi
Source: Alexandria via LeMat-Bulk
Functional: GGA-PBE
Structure: relaxed

a b c (Å): 5.3266 5.3266 5.3266
angles (deg): 60.00 60.00 60.00
With the nearest neighbours (Å) after each atom.
Fractional positions:
Ag 0.2500 0.2500 0.2500  4 Er 3.26, 4 Sm 3.26
Bi 0.7500 0.7500 0.7500  4 Sm 3.26, 4 Er 3.26
Sm 0.5000 0.5000 0.5000  4 Bi 3.26, 4 Ag 3.26
Er 0.0000 0.0000 0.0000  4 Bi 3.26, 4 Ag 3.26

Crystal system: cubic
Space-group type: No. 216

=====

Compound: TbErAgBi
Source: Alexandria via LeMat-Bulk
Functional: GGA-PBE
Structure: relaxed

a b c (Å): 5.2949 5.2949 5.2949
angles (deg): 60.00 60.00 60.00
With the nearest neighbours (Å) after each atom.
Fractional positions:
Tb 0.5000 0.5000 0.5000  4 Bi 3.24, 4 Ag 3.24
Bi 0.7500 0.7500 0.7500  4 Tb 3.24, 4 Er 3.24
Ag 0.2500 0.2500 0.2500  4 Tb 3.24, 4 Er 3.24
Er 0.0000 0.0000 0.0000  4 Bi 3.24, 4 Ag 3.24

Crystal system: cubic
Space-group type: No. 216

=====

How do the records compare in spin magnetization? In the order shown, they have 0.00; 0.00; 0.00; 0.27; 0.08; 0.20 μB per atom.
How do the records compare in raw total energy? In the order shown, they have -4.788; -5.672; -4.580; -4.756; -4.420; -4.381 eV per atom.